K2TaCuW: optimized geometry, PBE-GGA.

Output
- Size of the total moment: 2.036 μB per formula unit
- DFT formation energy: 2.36 eV/atom
- Space-group type: P4/mmm

a b c (Å): 4.9082 5.3893 4.9082
angles (deg): 90.00 90.00 90.00
Atoms (fractional coordinates):
Cu: 0.0000 0.0000 0.0000
K: 0.5000 0.0000 0.0000
K: 0.0000 0.0000 0.5000
Ta: 0.5000 0.5000 0.5000
W: 0.0000 0.5000 0.0000